(1)
# HfBi2BRu

A relaxed HfBi2BRu crystal (PBE-GGA, the Alexandria database).

Its density of states at the Fermi level is 0.80 states/eV per atom. For the total energy, the calculation gives -6.0110 eV/atom. As for the energy of formation: 723 meV per atom. The value obtained for the energy above the lowest structure with this stoichiometry is 0 meV/atom.

It has space group P4/mmm (No. 123), with a = 5.4271 Å, b = 5.4271 Å, c = 3.8921 Å, α = 90.00°, β = 90.00° and γ = 90.00°. The asymmetric unit holds Hf at (0.0000, 0.0000, 0.0000), Bi at (0.0000, 0.5000, 0.5000), B at (0.5000, 0.5000, 0.0000) and Ru at (0.5000, 0.5000, 0.5000).

(2)
# HfBi2BRu

A relaxed HfBi2BRu crystal (PBE-GGA, the Alexandria database).

Its density of states at the Fermi level is 1.04 states/eV per atom. For the total energy, the calculation gives -5.0066 eV/atom. As for the energy of formation: 1727 meV per atom. The value obtained for the energy above the lowest structure with this stoichiometry is 1004 meV/atom.

It has space group P4/mmm (No. 123), with a = 5.6236 Å, b = 5.6236 Å, c = 4.7379 Å, α = 90.00°, β = 90.00° and γ = 90.00°. The asymmetric unit holds Hf at (0.0000, 0.0000, 0.0000), Bi at (0.0000, 0.5000, 0.0000), B at (0.5000, 0.5000, 0.5000) and Ru at (0.0000, 0.0000, 0.5000).

energy of formation of number 1 (HfBi2BRu)?
723 meV per atom

What is the energy of formation in the second record?
1727 meV per atom